[1]
First-principles (PBE) data for Nd2TmAl4Pd3 after structural relaxation, as listed in Alexandria via LeMat-Bulk.

Properties
- Calculated formation energy: -0.6936 eV per atom

abc: 4.2659 4.2659 11.6571
angles: 90.00 90.00 90.00
Element x y z (fractional)
Nd (0.0000, 0.5000, 0.2284)
Nd (0.5000, 0.0000, 0.7716)
Tm (0.0000, 0.0000, 0.5000)
Al (0.0000, 0.0000, 0.0000)
Al (0.0000, 0.5000, 0.6689)
Al (0.5000, 0.0000, 0.3311)
Al (0.5000, 0.5000, 0.0000)
Pd (0.0000, 0.5000, 0.8808)
Pd (0.5000, 0.0000, 0.1192)
Pd (0.5000, 0.5000, 0.5000)

[2]
First-principles (PBE) data for ZrSiAg2 after structural relaxation, as listed in Alexandria via LeMat-Bulk.

Properties
- Energy relative to the elements, uncorrected: 15.3 kJ/mol of atoms

abc: 9.7880 9.7880 9.7880
angles: 17.37 17.37 17.37
Element x y z (fractional)
Zr (0.0000, 0.0000, 0.0000)
Si (0.5000, 0.5000, 0.5000)
Ag (0.2431, 0.2431, 0.2431)
Ag (0.7569, 0.7569, 0.7569)

[3]
First-principles (PBE) data for AgAsRu after structural relaxation, as listed in Alexandria via LeMat-Bulk.

Properties
- Offset from the most stable computed form: 371 meV per atom
- Calculated formation energy: 0.2591 eV per atom

abc: 4.1997 4.1997 4.1997
angles: 60.00 60.00 60.00
Element x y z (fractional)
Ag (0.0000, 0.0000, 0.0000)
As (0.2500, 0.2500, 0.2500)
Ru (0.5000, 0.5000, 0.5000)

[4]
First-principles (PBE) data for In2P after structural relaxation, as listed in Alexandria via LeMat-Bulk.

Properties
- Offset from the most stable computed form: 750 meV per atom
- Calculated formation energy: 0.7157 eV per atom

abc: 6.0047 6.0047 6.0047
angles: 60.00 60.00 60.00
Element x y z (fractional)
In (0.0000, 0.0000, 0.0000)
In (0.0000, 0.0000, 0.5000)
In (0.0000, 0.5000, 0.0000)
In (0.5000, 0.0000, 0.0000)
P (0.3750, 0.3750, 0.3750)
P (0.6250, 0.6250, 0.6250)

[5]
First-principles (PBE) data for CoCuRu after structural relaxation, as listed in Alexandria via LeMat-Bulk.

Properties
- Offset from the most stable computed form: 104 meV per atom
- Calculated formation energy: 0.3076 eV per atom

abc: 4.1267 4.1267 2.5218
angles: 90.00 90.00 120.00
Element x y z (fractional)
Co (0.0000, 0.0000, 0.0000)
Cu (0.6667, 0.3333, 0.0145)
Ru (0.3333, 0.6667, 0.5065)

[6]
First-principles (PBE) data for TaNb3Re after structural relaxation, as listed in Alexandria via LeMat-Bulk.

Properties
- Offset from the most stable computed form: 1325 meV per atom
- Calculated formation energy: 1.3368 eV per atom

abc: 4.8091 4.8091 4.8091
angles: 90.00 90.00 90.00
Element x y z (fractional)
Ta (0.0000, 0.0000, 0.0000)
Nb (0.0000, 0.5000, 0.5000)
Nb (0.5000, 0.0000, 0.5000)
Nb (0.5000, 0.5000, 0.0000)
Re (0.5000, 0.5000, 0.5000)

[7]
First-principles (PBE) data for PmSb2Pb after structural relaxation, as listed in Alexandria via LeMat-Bulk.

Properties
- Offset from the most stable computed form: 57 meV per atom
- Energy relative to the elements, uncorrected: -43.1 kJ/mol of atoms

abc: 8.1927 8.1927 8.1927
angles: 31.39 31.39 31.39
Element x y z (fractional)
Pm (0.0000, 0.0000, 0.0000)
Sb (0.2531, 0.2531, 0.2531)
Sb (0.7469, 0.7469, 0.7469)
Pb (0.5000, 0.5000, 0.5000)

[8]
First-principles (PBE) data for PmCuRh after structural relaxation, as listed in Alexandria via LeMat-Bulk.

Properties
- Offset from the most stable computed form: 249 meV per atom
- Calculated formation energy: -0.2480 eV per atom

abc: 5.6712 5.6712 5.6712
angles: 124.94 90.95 114.25
Element x y z (fractional)
Pm (0.0000, 0.0000, 0.0000)
Pm (0.5000, 0.0000, 0.5000)
Cu (0.3616, 0.6116, 0.7500)
Cu (0.6384, 0.3884, 0.2500)
Rh (0.0000, 0.0000, 0.5000)
Rh (0.0000, 0.5000, 0.0000)

| no. | V (Å³/cell) |
| --- | --- |
| 1 | 212.1 |
| 2 | 72.9 |
| 3 | 52.4 |
| 4 | 153.1 |
| 5 | 37.2 |
| 6 | 111.2 |
| 7 | 132.4 |
| 8 | 128.4 |